Entry 1:
{"formula": "AsRhIO2", "functional": "meta-GGA SCAN", "state": "PBEsol geometry", "raw_formation_energy_ev_per_atom": -0.02, "dos_at_fermi_per_ev_atom": 0.336, "final_energy_ev_per_atom": -20.652, "lattice": [[3.712, 0.000, 0.000], [0.000, 3.712, 0.000], [0.000, 0.000, 6.065]], "species": ["As", "Rh", "I", "O", "O"], "fractional_positions": [[0.000, 0.000, 0.000], [0.500, 0.500, 0.500], [0.000, 0.000, 0.500], [0.000, 0.500, 0.000], [0.500, 0.000, 0.000]]}



Entry 2:
{"formula": "YSbTe2Pt", "functional": "meta-GGA SCAN", "state": "PBEsol geometry", "raw_formation_energy_ev_per_atom": -0.24, "dos_at_fermi_per_ev_atom": 0.720, "final_energy_ev_per_atom": -42.204, "lattice": [[5.336, 0.000, 0.000], [0.000, 5.336, 0.000], [0.000, 0.000, 5.044]], "species": ["Y", "Sb", "Te", "Te", "Pt"], "fractional_positions": [[0.000, 0.000, 0.000], [0.500, 0.500, 0.000], [0.000, 0.500, 0.500], [0.500, 0.000, 0.500], [0.500, 0.500, 0.500]]}



Entry 3:
{"formula": "MnP7", "functional": "meta-GGA SCAN", "state": "PBEsol geometry", "dos_at_fermi_per_ev_atom": 0.441, "ef_mev_per_atom": 762, "final_energy_ev_per_atom": -10.619, "lattice": [[0.000, 3.800, 3.800], [3.800, 0.000, 3.800], [3.800, 3.800, 0.000]], "species": ["Mn", "P", "P", "P", "P", "P", "P", "P"], "fractional_positions": [[0.000, 0.000, 0.000], [0.000, 0.000, 0.500], [0.000, 0.500, 0.000], [0.000, 0.500, 0.500], [0.500, 0.000, 0.000], [0.500, 0.000, 0.500], [0.500, 0.500, 0.000], [0.500, 0.500, 0.500]]}



Entry 4:
{"formula": "TlTc2Pt", "functional": "meta-GGA SCAN", "state": "PBEsol geometry", "dos_at_fermi_per_ev_atom": 0.988, "ef_mev_per_atom": 391, "final_energy_ev_per_atom": -52.777, "lattice": [[3.807, 0.000, 0.000], [0.000, 4.178, 0.000], [0.000, 0.000, 7.978]], "species": ["Tl", "Tl", "Tc", "Tc", "Tc", "Tc", "Pt", "Pt"], "fractional_positions": [[0.000, 0.000, 0.000], [0.500, 0.500, 0.500], [0.000, 0.000, 0.480], [0.000, 0.500, 0.760], [0.500, 0.000, 0.260], [0.500, 0.500, 0.980], [0.000, 0.500, 0.243], [0.500, 0.000, 0.743]]}



Entry 5:
{"formula": "Mn2NiN2", "functional": "meta-GGA SCAN", "state": "PBEsol geometry", "raw_formation_energy_ev_per_atom": -0.48, "dos_at_fermi_per_ev_atom": 0.496, "final_energy_ev_per_atom": -14.737, "lattice": [[2.808, 0.000, 0.000], [0.000, 11.407, 0.000], [0.000, 0.000, 2.808]], "species": ["Mn", "Mn", "Mn", "Mn", "Ni", "Ni", "N", "N", "N", "N"], "fractional_positions": [[0.250, 0.090, 0.250], [0.250, 0.410, 0.250], [0.750, 0.590, 0.750], [0.750, 0.910, 0.750], [0.250, 0.750, 0.249], [0.750, 0.250, 0.751], [0.250, 0.589, 0.250], [0.250, 0.911, 0.250], [0.750, 0.089, 0.750], [0.750, 0.411, 0.750]]}



Entry 6:
{"formula": "CoReIr3", "functional": "meta-GGA SCAN", "state": "PBEsol geometry", "dos_at_fermi_per_ev_atom": 0.929, "ef_mev_per_atom": 1954, "final_energy_ev_per_atom": -58.385, "lattice": [[4.661, 0.000, 0.000], [0.000, 4.661, 0.000], [0.000, 0.000, 4.661]], "species": ["Co", "Re", "Ir", "Ir", "Ir"], "fractional_positions": [[0.000, 0.000, 0.000], [0.500, 0.500, 0.500], [0.000, 0.500, 0.500], [0.500, 0.000, 0.500], [0.500, 0.500, 0.000]]}



Entry 7:
{"formula": "MnZnTe", "functional": "meta-GGA SCAN", "state": "PBEsol geometry", "raw_formation_energy_ev_per_atom": 0.12, "dos_at_fermi_per_ev_atom": 0.610, "final_energy_ev_per_atom": -22.889, "lattice": [[3.421, 0.000, 0.000], [0.000, 3.421, 0.000], [0.000, 0.000, 8.524]], "species": ["Mn", "Mn", "Zn", "Zn", "Te", "Te"], "fractional_positions": [[0.000, 0.000, 0.000], [0.500, 0.500, 0.500], [0.000, 0.000, 0.655], [0.500, 0.500, 0.155], [0.000, 0.000, 0.338], [0.500, 0.500, 0.838]]}



Entry 8:
{"formula": "Ta2BeZn", "functional": "meta-GGA SCAN", "state": "PBEsol geometry", "dos_at_fermi_per_ev_atom": 0.437, "ef_mev_per_atom": 41, "final_energy_ev_per_atom": -37.718, "lattice": [[2.882, 0.000, 0.000], [0.000, 4.511, 0.000], [0.000, 0.000, 8.847]], "species": ["Ta", "Ta", "Ta", "Ta", "Be", "Be", "Zn", "Zn"], "fractional_positions": [[0.000, 0.000, 0.000], [0.000, 0.500, 0.221], [0.500, 0.000, 0.721], [0.500, 0.500, 0.500], [0.000, 0.000, 0.475], [0.500, 0.500, 0.975], [0.000, 0.500, 0.773], [0.500, 0.000, 0.273]]}



Entry 9:
{"formula": "ZnIn3", "functional": "meta-GGA SCAN", "state": "PBEsol geometry", "dos_at_fermi_per_ev_atom": 0.380, "ef_mev_per_atom": 146, "final_energy_ev_per_atom": -28.273, "lattice": [[10.997, 0.000, 0.000], [0.000, 3.256, 0.000], [-1.581, 0.000, 5.072]], "species": ["Zn", "Zn", "In", "In", "In", "In", "In", "In"], "fractional_positions": [[0.000, 0.000, 0.000], [0.500, 0.500, 0.000], [0.000, 0.500, 0.500], [0.226, 0.500, 0.231], [0.274, 0.000, 0.769], [0.500, 0.000, 0.500], [0.726, 0.000, 0.231], [0.774, 0.500, 0.769]]}



Entry 10:
{"formula": "RbDyBeF6", "functional": "meta-GGA SCAN", "state": "PBEsol geometry", "raw_formation_energy_ev_per_atom": -3.86, "dos_at_fermi_per_ev_atom": 0.000, "final_energy_ev_per_atom": -14.321, "lattice": [[6.412, 0.000, 0.000], [0.000, 5.810, 0.000], [-2.872, 0.000, 6.551]], "species": ["Rb", "Rb", "Dy", "Dy", "Be", "Be", "F", "F", "F", "F", "F", "F", "F", "F", "F", "F", "F", "F"], "fractional_positions": [[0.081, 0.250, 0.214], [0.919, 0.750, 0.786], [0.392, 0.250, 0.823], [0.608, 0.750, 0.177], [0.231, 0.750, 0.463], [0.769, 0.250, 0.537], [0.001, 0.750, 0.270], [0.242, 0.534, 0.595], [0.242, 0.966, 0.595], [0.321, 0.502, 0.029], [0.321, 0.998, 0.029], [0.430, 0.750, 0.394], [0.570, 0.250, 0.606], [0.679, 0.002, 0.971], [0.679, 0.498, 0.971], [0.758, 0.034, 0.405], [0.758, 0.466, 0.405], [0.999, 0.250, 0.730]]}



Entry 11:
{"formula": "Ba2La4Ti5O18", "functional": "meta-GGA SCAN", "state": "PBEsol geometry", "raw_formation_energy_ev_per_atom": -3.53, "dos_at_fermi_per_ev_atom": 0.000, "final_energy_ev_per_atom": -18.836, "lattice": [[2.773, 1.601, 13.356], [-2.773, 1.601, 13.356], [0.000, -3.202, 13.356]], "species": ["Ba", "Ba", "La", "La", "La", "La", "Ti", "Ti", "Ti", "Ti", "Ti", "O", "O", "O", "O", "O", "O", "O", "O", "O", "O", "O", "O", "O", "O", "O", "O", "O", "O"], "fractional_positions": [[0.000, 0.000, 0.000], [0.450, 0.450, 0.450], [0.177, 0.177, 0.177], [0.274, 0.274, 0.274], [0.551, 0.551, 0.551], [0.728, 0.728, 0.728], [0.088, 0.088, 0.088], [0.362, 0.362, 0.362], [0.638, 0.638, 0.638], [0.815, 0.815, 0.815], [0.912, 0.912, 0.912], [0.000, 0.501, 0.501], [0.066, 0.066, 0.542], [0.066, 0.542, 0.066], [0.172, 0.669, 0.669], [0.223, 0.223, 0.723], [0.223, 0.723, 0.223], [0.283, 0.774, 0.774], [0.450, 0.942, 0.942], [0.501, 0.000, 0.501], [0.501, 0.501, 0.000], [0.542, 0.066, 0.066], [0.669, 0.172, 0.669], [0.669, 0.669, 0.172], [0.723, 0.223, 0.223], [0.774, 0.283, 0.774], [0.774, 0.774, 0.283], [0.942, 0.450, 0.942], [0.942, 0.942, 0.450]]}



Entry 12:
{"formula": "AsAu5", "functional": "meta-GGA SCAN", "state": "PBEsol geometry", "dos_at_fermi_per_ev_atom": 0.302, "ef_mev_per_atom": 98, "final_energy_ev_per_atom": -60.898, "lattice": [[10.807, 0.000, 0.000], [0.000, 2.873, 0.000], [-1.856, 0.000, 6.646]], "species": ["As", "As", "Au", "Au", "Au", "Au", "Au", "Au", "Au", "Au", "Au", "Au"], "fractional_positions": [[0.000, 0.000, 0.000], [0.500, 0.500, 0.000], [0.056, 0.000, 0.612], [0.169, 0.500, 0.338], [0.220, 0.500, 0.948], [0.335, 0.000, 0.674], [0.391, 0.000, 0.278], [0.556, 0.500, 0.612], [0.669, 0.000, 0.338], [0.720, 0.000, 0.948], [0.835, 0.500, 0.674], [0.891, 0.500, 0.278]]}



Entry 13:
{"formula": "FeTc", "functional": "meta-GGA SCAN", "state": "PBEsol geometry", "dos_at_fermi_per_ev_atom": 1.013, "ef_mev_per_atom": 216, "final_energy_ev_per_atom": -26.378, "lattice": [[9.363, 0.000, 0.000], [0.000, 2.595, 0.000], [-1.492, 0.000, 5.897]], "species": ["Fe", "Fe", "Fe", "Fe", "Fe", "Fe", "Tc", "Tc", "Tc", "Tc", "Tc", "Tc"], "fractional_positions": [[0.000, 0.000, 0.000], [0.061, 0.000, 0.604], [0.162, 0.500, 0.334], [0.500, 0.500, 0.000], [0.561, 0.500, 0.604], [0.662, 0.000, 0.334], [0.208, 0.500, 0.944], [0.338, 0.000, 0.662], [0.394, 0.000, 0.279], [0.708, 0.000, 0.944], [0.838, 0.500, 0.662], [0.894, 0.500, 0.279]]}



Entry 14:
{"formula": "Zn5Ag3", "functional": "meta-GGA SCAN", "state": "PBEsol geometry", "dos_at_fermi_per_ev_atom": 0.218, "ef_mev_per_atom": 68, "final_energy_ev_per_atom": -20.141, "lattice": [[7.556, 0.000, 0.000], [-3.778, 6.543, 0.000], [0.000, 0.000, 5.015]], "species": ["Zn", "Zn", "Zn", "Zn", "Zn", "Zn", "Zn", "Zn", "Zn", "Zn", "Ag", "Ag", "Ag", "Ag", "Ag", "Ag"], "fractional_positions": [[0.000, 0.215, 0.250], [0.000, 0.785, 0.750], [0.215, 0.000, 0.250], [0.215, 0.215, 0.750], [0.333, 0.667, 0.000], [0.333, 0.667, 0.500], [0.667, 0.333, 0.000], [0.667, 0.333, 0.500], [0.785, 0.000, 0.750], [0.785, 0.785, 0.250], [0.000, 0.398, 0.750], [0.000, 0.602, 0.250], [0.398, 0.000, 0.750], [0.398, 0.398, 0.250], [0.602, 0.000, 0.250], [0.602, 0.602, 0.750]]}



Entry 15:
{"formula": "CrCdIr2", "functional": "meta-GGA SCAN", "state": "PBEsol geometry", "dos_at_fermi_per_ev_atom": 0.795, "ef_mev_per_atom": 236, "final_energy_ev_per_atom": -47.514, "lattice": [[2.773, 0.000, 0.000], [0.000, 4.523, 0.000], [0.000, 0.000, 9.503]], "species": ["Cr", "Cr", "Cd", "Cd", "Ir", "Ir", "Ir", "Ir"], "fractional_positions": [[0.000, 0.000, 0.000], [0.500, 0.500, 0.500], [0.000, 0.500, 0.233], [0.500, 0.000, 0.733], [0.000, 0.000, 0.455], [0.000, 0.500, 0.710], [0.500, 0.000, 0.210], [0.500, 0.500, 0.955]]}



Entry 16:
{"formula": "ZnCuNi2", "functional": "meta-GGA SCAN", "state": "PBEsol geometry", "dos_at_fermi_per_ev_atom": 0.580, "ef_mev_per_atom": -62, "final_energy_ev_per_atom": -15.328, "lattice": [[2.632, 0.000, 0.000], [0.000, 4.054, 0.000], [-0.020, 0.000, 4.145]], "species": ["Zn", "Cu", "Ni", "Ni"], "fractional_positions": [[0.000, 0.000, 0.000], [0.999, 0.500, 0.391], [0.499, 0.500, 0.884], [0.500, 0.000, 0.501]]}



Entry 17:
{"formula": "LiSeN2Cl", "functional": "meta-GGA SCAN", "state": "PBEsol geometry", "raw_formation_energy_ev_per_atom": 1.53, "dos_at_fermi_per_ev_atom": 0.300, "final_energy_ev_per_atom": -8.279, "lattice": [[3.955, 0.000, 0.000], [0.000, 3.955, 0.000], [0.000, 0.000, 5.146]], "species": ["Li", "Se", "N", "N", "Cl"], "fractional_positions": [[0.000, 0.000, 0.000], [0.000, 0.000, 0.500], [0.000, 0.500, 0.000], [0.500, 0.000, 0.000], [0.500, 0.500, 0.500]]}



Entry 18:
{"formula": "CaYZr2", "functional": "meta-GGA SCAN", "state": "PBEsol geometry", "dos_at_fermi_per_ev_atom": 1.300, "ef_mev_per_atom": 498, "final_energy_ev_per_atom": -24.228, "lattice": [[7.492, 0.000, 0.000], [0.000, 7.492, 0.000], [0.000, 0.000, 7.492]], "species": ["Ca", "Ca", "Ca", "Ca", "Y", "Y", "Y", "Y", "Zr", "Zr", "Zr", "Zr", "Zr", "Zr", "Zr", "Zr"], "fractional_positions": [[0.000, 0.000, 0.000], [0.000, 0.500, 0.500], [0.500, 0.000, 0.500], [0.500, 0.500, 0.000], [0.000, 0.000, 0.500], [0.000, 0.500, 0.000], [0.500, 0.000, 0.000], [0.500, 0.500, 0.500], [0.250, 0.250, 0.250], [0.250, 0.250, 0.750], [0.250, 0.750, 0.250], [0.250, 0.750, 0.750], [0.750, 0.250, 0.250], [0.750, 0.250, 0.750], [0.750, 0.750, 0.250], [0.750, 0.750, 0.750]]}



Entry 19:
{"formula": "ZrBeW2", "functional": "meta-GGA SCAN", "state": "PBEsol geometry", "dos_at_fermi_per_ev_atom": 0.775, "ef_mev_per_atom": 359, "final_energy_ev_per_atom": -43.248, "lattice": [[2.777, 0.000, 0.000], [0.000, 4.600, 0.000], [-0.526, 0.000, 4.923]], "species": ["Zr", "Be", "W", "W"], "fractional_positions": [[0.000, 0.000, 0.000], [0.500, 0.000, 0.500], [0.285, 0.500, 0.747], [0.715, 0.500, 0.253]]}



Entry 20:
{"formula": "EuHg2Bi", "functional": "meta-GGA SCAN", "state": "PBEsol geometry", "dos_at_fermi_per_ev_atom": 0.500, "ef_mev_per_atom": -529, "final_energy_ev_per_atom": -67.684, "lattice": [[7.501, 0.000, 0.000], [0.000, 7.501, 0.000], [0.000, 0.000, 7.501]], "species": ["Eu", "Eu", "Eu", "Eu", "Hg", "Hg", "Hg", "Hg", "Hg", "Hg", "Hg", "Hg", "Bi", "Bi", "Bi", "Bi"], "fractional_positions": [[0.000, 0.000, 0.000], [0.000, 0.500, 0.500], [0.500, 0.000, 0.500], [0.500, 0.500, 0.000], [0.250, 0.250, 0.250], [0.250, 0.250, 0.750], [0.250, 0.750, 0.250], [0.250, 0.750, 0.750], [0.750, 0.250, 0.250], [0.750, 0.250, 0.750], [0.750, 0.750, 0.250], [0.750, 0.750, 0.750], [0.000, 0.000, 0.500], [0.000, 0.500, 0.000], [0.500, 0.000, 0.000], [0.500, 0.500, 0.500]]}



Entry 21:
{"formula": "Sc3TlMo", "functional": "meta-GGA SCAN", "state": "PBEsol geometry", "dos_at_fermi_per_ev_atom": 0.932, "ef_mev_per_atom": 928, "final_energy_ev_per_atom": -29.062, "lattice": [[5.224, 0.000, 0.000], [0.000, 5.224, 0.000], [0.000, 0.000, 5.224]], "species": ["Sc", "Sc", "Sc", "Tl", "Mo"], "fractional_positions": [[0.000, 0.000, 0.500], [0.000, 0.500, 0.000], [0.500, 0.000, 0.000], [0.000, 0.000, 0.000], [0.500, 0.500, 0.500]]}



Entry 22:
{"formula": "Be2CrCdCl", "functional": "meta-GGA SCAN", "state": "PBEsol geometry", "raw_formation_energy_ev_per_atom": 0.85, "dos_at_fermi_per_ev_atom": 0.388, "final_energy_ev_per_atom": -12.247, "lattice": [[4.471, 0.000, 0.000], [0.000, 4.471, 0.000], [0.000, 0.000, 4.123]], "species": ["Be", "Be", "Cr", "Cd", "Cl"], "fractional_positions": [[0.000, 0.500, 0.000], [0.500, 0.000, 0.000], [0.000, 0.000, 0.000], [0.500, 0.500, 0.500], [0.000, 0.000, 0.500]]}



Entry 23:
{"formula": "Zr2CrCl", "functional": "meta-GGA SCAN", "state": "PBEsol geometry", "raw_formation_energy_ev_per_atom": -0.51, "dos_at_fermi_per_ev_atom": 0.494, "final_energy_ev_per_atom": -22.446, "lattice": [[3.107, 0.000, 0.000], [0.000, 3.201, 0.000], [0.000, 0.000, 7.589]], "species": ["Zr", "Zr", "Cr", "Cl"], "fractional_positions": [[0.000, 0.000, 0.205], [0.000, 0.000, 0.795], [0.500, 0.500, 0.000], [0.500, 0.000, 0.500]]}



Entry 24:
{"formula": "Hf2BeAlRu", "functional": "meta-GGA SCAN", "state": "PBEsol geometry", "dos_at_fermi_per_ev_atom": 0.763, "ef_mev_per_atom": 1026, "final_energy_ev_per_atom": -33.429, "lattice": [[4.866, 0.000, 0.000], [0.000, 4.866, 0.000], [0.000, 0.000, 4.277]], "species": ["Hf", "Hf", "Be", "Al", "Ru"], "fractional_positions": [[0.000, 0.500, 0.000], [0.500, 0.000, 0.000], [0.000, 0.000, 0.500], [0.500, 0.500, 0.000], [0.500, 0.500, 0.500]]}



Entry 25:
{"formula": "CaIrPb2", "functional": "meta-GGA SCAN", "state": "PBEsol geometry", "dos_at_fermi_per_ev_atom": 0.733, "ef_mev_per_atom": -58, "final_energy_ev_per_atom": -58.139, "lattice": [[3.338, 0.000, 0.000], [0.000, 3.338, 0.000], [0.000, 0.000, 8.801]], "species": ["Ca", "Ir", "Pb", "Pb"], "fractional_positions": [[0.000, 0.000, 0.000], [0.500, 0.500, 0.200], [0.000, 0.000, 0.387], [0.500, 0.500, 0.698]]}



Entry 26:
{"formula": "CaSc2Mn", "functional": "meta-GGA SCAN", "state": "PBEsol geometry", "dos_at_fermi_per_ev_atom": 1.278, "ef_mev_per_atom": 216, "final_energy_ev_per_atom": -13.882, "lattice": [[4.478, 0.000, 0.000], [0.000, 4.478, 0.000], [0.000, 0.000, 4.524]], "species": ["Ca", "Sc", "Sc", "Mn"], "fractional_positions": [[0.000, 0.000, 0.000], [0.000, 0.500, 0.500], [0.500, 0.000, 0.500], [0.500, 0.500, 0.000]]}